(1)
Crystalline Li2Ag3Ge2 at its relaxed geometry, computed with PBE.

POSCAR file:
```
Li2Ag3Ge2
1.0
4.5670 -2.0135 0.0000
4.5670 2.0135 0.0000
-1.1233 0.0000 6.4706
Li Ag Ge
2 3 2
direct
0.0731 0.0731 0.2213
0.9269 0.9269 0.7787
0.2145 0.2145 0.6475
0.5000 0.5000 0.5000
0.7855 0.7855 0.3525
0.3551 0.3551 0.0667
0.6449 0.6449 0.9333
```

(2)
Crystalline Li2Ag3Ge2 at its relaxed geometry, computed with PBE.

POSCAR file:
```
Li2Ag3Ge2
1.0
2.0410 -9.6881 0.0000
2.0410 9.6881 0.0000
0.0000 0.0000 3.0467
Li Ag Ge
2 3 2
direct
0.1499 0.8501 0.0000
0.8501 0.1499 0.0000
0.0000 0.0000 0.0000
0.4261 0.5739 0.5000
0.5739 0.4261 0.5000
0.2898 0.7102 0.5000
0.7102 0.2898 0.5000
```

(2) (15 meV/atom below the next structure)